[1]
{"formula": "ZrTa2Al", "functional": "PBE-GGA", "state": "optimized geometry", "lattice": [[1.7360, -2.3331, 0.0000], [1.7360, 2.3331, 0.0000], [0.0000, 0.0000, 9.2743]], "species": ["Zr", "Ta", "Ta", "Al"], "frac_coords": [[0.0000, 0.0000, 0.0000], [0.0000, 0.0000, 0.5063], [0.5000, 0.5000, 0.2630], [0.5000, 0.5000, 0.7412]], "magnetic_moment_mub_per_cell": 0.00, "formation_enthalpy_0k_ev_per_atom": -0.0700, "dos_ef_per_ev_cell": 4.6, "crystal_system": "orthorhombic"}

---

[2]
{"formula": "LiLuMgGa", "functional": "PBE-GGA", "state": "optimized geometry", "lattice": [[0.0000, 3.4079, 3.4079], [3.4079, 0.0000, 3.4079], [3.4079, 3.4079, 0.0000]], "species": ["Li", "Lu", "Mg", "Ga"], "frac_coords": [[0.0000, 0.0000, 0.0000], [0.2500, 0.2500, 0.2500], [0.7500, 0.7500, 0.7500], [0.5000, 0.5000, 0.5000]], "magnetic_moment_mub_per_cell": 0.00, "formation_enthalpy_0k_ev_per_atom": -0.2754, "dos_ef_per_ev_cell": 2.7, "crystal_system": "cubic"}

---

[3]
{"formula": "Cs6PdBr2O", "functional": "PBE-GGA", "state": "optimized geometry", "lattice": [[4.3857, 2.5321, 7.3277], [-4.3857, 2.5321, 7.3277], [0.0000, -5.0642, 7.3277]], "species": ["Cs", "Cs", "Cs", "Cs", "Cs", "Cs", "Pd", "Br", "Br", "O"], "frac_coords": [[0.0428, 0.7118, 0.2454], [0.1623, 0.5893, 0.7841], [0.2454, 0.0428, 0.7118], [0.5893, 0.7841, 0.1623], [0.7118, 0.2454, 0.0428], [0.7841, 0.1623, 0.5893], [0.4045, 0.4045, 0.4045], [0.1326, 0.1326, 0.1326], [0.6282, 0.6282, 0.6282], [0.9122, 0.9122, 0.9122]], "magnetic_moment_mub_per_cell": 0.00, "e_form_raw_mev_per_atom": -953, "crystal_system": "trigonal"}